Compound: SrCaTi2Os
Source: Alexandria
Functional: GGA-PBE
Structure: optimized geometry

E_form (eV/atom): 0.305
Excess energy over the best structure of this formula in the dataset (meV/atom): 0

Structure (POSCAR):
```
SrCaTi2Os
1.0
4.887 0.000 0.000
0.000 4.887 0.000
0.000 0.000 5.631
Sr Ca Ti Os
1 1 2 1
Cartesian
0.000 0.000 0.000
2.443 2.443 0.000
0.000 2.443 2.816
2.443 0.000 2.816
2.443 2.443 2.816
```

Compound: SrCaTi2Os
Source: Alexandria
Functional: GGA-PBE
Structure: optimized geometry

E_form (eV/atom): 2.118
Excess energy over the best structure of this formula in the dataset (meV/atom): 1813

Structure (POSCAR):
```
SrCaTi2Os
1.0
4.627 0.000 0.000
0.000 4.627 0.000
0.000 0.000 5.123
Sr Ca Ti Os
1 1 2 1
Cartesian
0.000 0.000 0.000
0.000 0.000 2.562
0.000 2.313 2.562
2.313 0.000 2.562
2.313 2.313 0.000
```

Compound: SrCa2TlOs
Source: Alexandria
Functional: GGA-PBE
Structure: optimized geometry

E_form (eV/atom): 1.356

Structure (POSCAR):
```
SrCa2TlOs
1.0
6.120 0.000 0.000
0.000 6.120 0.000
0.000 0.000 4.929
Sr Ca Tl Os
1 2 1 1
Cartesian
0.000 0.000 0.000
0.000 3.060 0.000
3.060 0.000 0.000
3.060 3.060 2.465
0.000 0.000 2.465
```